Entry from the Alexandria database: a geometry-optimized TmTl2Sn structure (PBE).

Values from the calculation:
* distance to the lowest polymorph of the same formula: 0 meV per atom
* calculated formation energy: -91 kJ/mol of formula units

CIF file:
```
data_TmTl2Sn
_chemical_formula_sum 'Tm1 Tl2 Sn1'
_cell_length_a 4.666
_cell_length_b 4.666
_cell_length_c 4.883
_cell_angle_alpha 90.00
_cell_angle_beta 90.00
_cell_angle_gamma 90.00
_symmetry_space_group_name_H-M 'P 4/m m m'
_symmetry_Int_Tables_number 123
_symmetry_space_group_name_Hall '-P 4 2'
loop_
_atom_site_label
_atom_site_type_symbol
_atom_site_fract_x
_atom_site_fract_y
_atom_site_fract_z
Tm1 Tm 0.000 0.000 0.000
Tl1 Tl 0.000 0.500 0.500
Sn1 Sn 0.500 0.500 0.000
```


Entry from the Alexandria database: a geometry-optimized BPtSeN2 structure (PBE).

Values from the calculation:
* distance to the lowest polymorph of the same formula: 440 meV per atom
* uncorrected formation energy: 1.701 eV per atom

CIF file:
```
data_BPtSeN2
_chemical_formula_sum 'B1 Pt1 Se1 N2'
_cell_length_a 3.656
_cell_length_b 3.656
_cell_length_c 9.018
_cell_angle_alpha 90.00
_cell_angle_beta 90.00
_cell_angle_gamma 90.00
_symmetry_space_group_name_H-M 'P 4/m m m'
_symmetry_Int_Tables_number 123
_symmetry_space_group_name_Hall '-P 4 2'
loop_
_atom_site_label
_atom_site_type_symbol
_atom_site_fract_x
_atom_site_fract_y
_atom_site_fract_z
B1 B 0.000 0.000 0.000
Pt1 Pt 0.500 0.500 0.500
Se1 Se 0.500 0.500 0.000
N1 N 0.000 0.500 0.500
```


Entry from the Alexandria database: a geometry-optimized Ti5Bi2Te structure (PBE).

Values from the calculation:
* uncorrected formation energy: 0.164 eV per atom

CIF file:
```
data_Ti5Bi2Te
_chemical_formula_sum 'Ti20 Bi8 Te4'
_cell_length_a 4.995
_cell_length_b 13.152
_cell_length_c 11.908
_cell_angle_alpha 90.00
_cell_angle_beta 90.00
_cell_angle_gamma 90.00
_symmetry_space_group_name_H-M 'C m c m'
_symmetry_Int_Tables_number 63
_symmetry_space_group_name_Hall '-C 2c 2'
loop_
_atom_site_label
_atom_site_type_symbol
_atom_site_fract_x
_atom_site_fract_y
_atom_site_fract_z
Ti1 Ti 0.000 0.117 0.138
Ti2 Ti 0.000 0.294 0.750
Ti3 Ti 0.000 0.303 0.013
Bi1 Bi 0.000 0.100 0.601
Te1 Te 0.000 0.300 0.250
```


Entry from the Alexandria database: a geometry-optimized Er3Ga2Rh2 structure (PBE).

Values from the calculation:
* calculated formation energy: -573 kJ/mol of formula units

CIF file:
```
data_Er3Ga2Rh2
_chemical_formula_sum 'Er12 Ga8 Rh8'
_cell_length_a 5.515
_cell_length_b 7.700
_cell_length_c 13.618
_cell_angle_alpha 90.00
_cell_angle_beta 90.00
_cell_angle_gamma 90.00
_symmetry_space_group_name_H-M 'P b c m'
_symmetry_Int_Tables_number 57
loop_
_symmetry_equiv_pos_as_xyz
'x,y,z'
'-x,-y,-z'
'-x,-y,z+1/2'
'x,y,-z+1/2'
'x,-y+1/2,-z'
'-x,y+1/2,z'
'-x,y+1/2,-z+1/2'
'x,-y+1/2,z+1/2'
loop_
_atom_site_label
_atom_site_type_symbol
_atom_site_fract_x
_atom_site_fract_y
_atom_site_fract_z
Er1 Er 0.126 0.234 0.250
Er2 Er 0.347 0.598 0.098
Ga1 Ga 0.151 0.250 0.000
Ga2 Ga 0.380 0.612 0.750
Rh1 Rh 0.143 0.540 0.593
```


Entry from the Alexandria database: a geometry-optimized BaIn8Bi6 structure (PBE).

Values from the calculation:
* calculated formation energy: -126 kJ/mol of formula units

CIF file:
```
data_BaIn8Bi6
_chemical_formula_sum 'Ba3 In24 Bi18'
_cell_length_a 8.9987
_cell_length_b 8.9987
_cell_length_c 22.2856
_cell_angle_alpha 90.00
_cell_angle_beta 90.00
_cell_angle_gamma 120.00
_symmetry_space_group_name_H-M 'R -3'
_symmetry_Int_Tables_number 148
_symmetry_space_group_name_Hall '-R 3'
loop_
_atom_site_label
_atom_site_type_symbol
_atom_site_fract_x
_atom_site_fract_y
_atom_site_fract_z
Ba1 Ba 0.0000 0.0000 0.0000
In1 In 0.0000 0.0000 0.3399
In2 In 0.0103 0.3194 0.1187
Bi1 Bi 0.0104 0.3621 0.9252
```


Entry from the Alexandria database: a geometry-optimized Ca3MoH structure (PBE).

Values from the calculation:
* distance to the lowest polymorph of the same formula: 697 meV per atom

CIF file:
```
data_Ca3MoH
_chemical_formula_sum 'Ca3 Mo1 H1'
_cell_length_a 5.468
_cell_length_b 5.468
_cell_length_c 5.468
_cell_angle_alpha 90.00
_cell_angle_beta 90.00
_cell_angle_gamma 90.00
_symmetry_space_group_name_H-M 'P m -3 m'
_symmetry_Int_Tables_number 221
_symmetry_space_group_name_Hall '-P 4 2 3'
loop_
_atom_site_label
_atom_site_type_symbol
_atom_site_fract_x
_atom_site_fract_y
_atom_site_fract_z
Ca1 Ca 0.000 0.000 0.500
Mo1 Mo 0.000 0.000 0.000
H1 H 0.500 0.500 0.500
```


Entry from the Alexandria database: a geometry-optimized AcNd6Y4 structure (PBE).

Values from the calculation:
* distance to the lowest polymorph of the same formula: 51 meV per atom
* calculated formation energy: 384 kJ/mol of formula units

CIF file:
```
data_AcNd6Y4
_chemical_formula_sum 'Ac2 Nd12 Y8'
_cell_length_a 7.824
_cell_length_b 7.824
_cell_length_c 13.442
_cell_angle_alpha 90.00
_cell_angle_beta 90.00
_cell_angle_gamma 90.00
_symmetry_space_group_name_H-M 'I -4 2 m'
_symmetry_Int_Tables_number 121
_symmetry_space_group_name_Hall 'I -4 2'
loop_
_atom_site_label
_atom_site_type_symbol
_atom_site_fract_x
_atom_site_fract_y
_atom_site_fract_z
Ac1 Ac 0.000 0.000 0.000
Nd1 Nd 0.000 0.500 0.000
Nd2 Nd 0.242 0.242 0.190
Y1 Y 0.162 0.162 0.422
```


Entry from the Alexandria database: a geometry-optimized ZrCdOs2 structure (PBE).

Values from the calculation:
* calculated formation energy: 56 kJ/mol of formula units

CIF file:
```
data_ZrCdOs2
_chemical_formula_sum 'Zr2 Cd2 Os4'
_cell_length_a 10.452
_cell_length_b 2.967
_cell_length_c 4.888
_cell_angle_alpha 90.00
_cell_angle_beta 111.31
_cell_angle_gamma 90.00
_symmetry_space_group_name_H-M 'C 1 m 1'
_symmetry_Int_Tables_number 8
loop_
_symmetry_equiv_pos_as_xyz
'x,y,z'
'x,-y,z'
'x+1/2,y+1/2,z'
'x+1/2,-y+1/2,z'
loop_
_atom_site_label
_atom_site_type_symbol
_atom_site_fract_x
_atom_site_fract_y
_atom_site_fract_z
Zr1 Zr 0.000 0.000 0.000
Cd1 Cd 0.212 0.000 0.628
Os1 Os 0.260 0.500 0.153
Os2 Os 0.459 0.000 0.484
```